[1]
The following is a DFT calculation (GGA-PBE) of a relaxed HoEr3Cl crystal.

## Properties
As for the total energy: -4.43 eV per atom.

Lattice parameters (Å, degrees): 5.2213 5.2213 5.2213 90.00 90.00 90.00
With the nearest neighbours (Å) after each atom.
Positions (direct):
Ho: 0.0000 0.0000 0.0000  12 Er 3.69
Er: 0.0000 0.5000 0.5000  2 Cl 2.61
Er: 0.5000 0.0000 0.5000  2 Cl 2.61
Er: 0.5000 0.5000 0.0000  2 Cl 2.61
Cl: 0.5000 0.5000 0.5000  6 Er 2.61


[2]
The following is a DFT calculation (GGA-PBE) of a relaxed TbEr3Mg12 crystal.

## Properties
The calculated formation energy comes out at -0.053 eV/atom.

Lattice parameters (Å, degrees): 4.6144 4.6144 18.9240 90.00 90.00 90.00
With the nearest neighbours (Å) after each atom.
Positions (direct):
Tb: 0.0000 0.0000 0.0000  12 Mg 3.26-3.32
Er: 0.0000 0.0000 0.2509  12 Mg 3.26-3.30
Er: 0.0000 0.0000 0.5000  12 Mg 3.26-3.30
Er: 0.0000 0.0000 0.7491  12 Mg 3.26-3.30
Mg: 0.0000 0.5000 0.1260  8 Mg 3.26-3.32, 2 Er 3.30, 2 Tb 3.32
Mg: 0.0000 0.5000 0.3754  8 Mg 3.26-3.30, 4 Er 3.30
Mg: 0.0000 0.5000 0.6246  8 Mg 3.26-3.30, 4 Er 3.30
Mg: 0.0000 0.5000 0.8740  8 Mg 3.26-3.32, 2 Er 3.30, 2 Tb 3.32
Mg: 0.5000 0.0000 0.1260  8 Mg 3.26-3.32, 2 Er 3.30, 2 Tb 3.32
Mg: 0.5000 0.0000 0.3754  8 Mg 3.26-3.30, 4 Er 3.30
Mg: 0.5000 0.0000 0.6246  8 Mg 3.26-3.30, 4 Er 3.30
Mg: 0.5000 0.0000 0.8740  8 Mg 3.26-3.32, 2 Er 3.30, 2 Tb 3.32
Mg: 0.5000 0.5000 0.0000  4 Tb 3.26, 8 Mg 3.32
Mg: 0.5000 0.5000 0.2511  4 Er 3.26, 8 Mg 3.29-3.31
Mg: 0.5000 0.5000 0.5000  4 Er 3.26, 8 Mg 3.30
Mg: 0.5000 0.5000 0.7489  4 Er 3.26, 8 Mg 3.29-3.31


[3]
The following is a DFT calculation (GGA-PBE) of a relaxed Sr4CaMo crystal.

## Properties
The calculated formation energy comes out at 0.919 eV/atom.

Lattice parameters (Å, degrees): 7.3110 7.3110 7.3110 60.00 60.00 60.00
With the nearest neighbours (Å) after each atom.
Positions (direct):
Sr: 0.1255 0.1255 0.1255  6 Sr 3.64-3.67
Sr: 0.1255 0.1255 0.6235  6 Sr 3.64-3.67
Sr: 0.1255 0.6235 0.1255  6 Sr 3.64-3.67
Sr: 0.6235 0.1255 0.1255  6 Sr 3.64-3.67
Ca: 0.7500 0.7500 0.7500  12 Sr 4.29, 4 Mo 4.48
Mo: 0.5000 0.5000 0.5000  12 Sr 4.28, 4 Ca 4.48


[4]
The following is a DFT calculation (GGA-PBE) of a relaxed ZnP crystal.

## Properties
The calculated formation energy comes out at -0.020 eV/atom.

Lattice parameters (Å, degrees): 4.0726 4.0726 4.0726 139.57 120.59 74.33
With the nearest neighbours (Å) after each atom.
Positions (direct):
Zn: 0.0000 0.0000 0.0000  4 P 2.36-2.46
P: 0.3115 0.8115 0.5000  4 Zn 2.36-2.46


[5]
The following is a DFT calculation (GGA-PBE) of a relaxed Sc8IrPd2 crystal.

## Properties
The calculated formation energy comes out at -0.448 eV/atom.

Lattice parameters (Å, degrees): 7.5841 7.5841 5.0682 100.74 100.74 119.91
With the nearest neighbours (Å) after each atom.
Positions (direct):
Sc: 0.0000 0.0000 0.0000  1 Ir 2.58
Sc: 0.0346 0.2673 0.5819  2 Pd 2.68-2.81
Sc: 0.1607 0.5710 0.1912  1 Ir 2.69, 2 Pd 2.81
Sc: 0.2673 0.0346 0.5819  2 Pd 2.68-2.81
Sc: 0.4642 0.6970 0.8008  2 Pd 2.68-2.81
Sc: 0.5710 0.1607 0.1912  1 Ir 2.69, 2 Pd 2.81
Sc: 0.6970 0.4642 0.8008  2 Pd 2.68-2.81
Sc: 0.7314 0.7314 0.3825  1 Ir 2.58
Ir: 0.3657 0.3657 0.1897  4 Sc 2.58-2.69
Pd: 0.0687 0.6627 0.6910  6 Sc 2.68-2.81
Pd: 0.6627 0.0687 0.6910  6 Sc 2.68-2.81


[6]
The following is a DFT calculation (GGA-PBE) of a relaxed Zr2Al3C5 crystal.

## Properties
The calculated formation energy comes out at -0.064 eV/atom.

Lattice parameters (Å, degrees): 3.2562 3.2562 24.6232 90.00 90.00 120.00
With the nearest neighbours (Å) after each atom.
Positions (direct):
Zr: 0.3333 0.6667 0.0562  6 C 2.33-2.36
Zr: 0.3333 0.6667 0.4438  6 C 2.33-2.36
Zr: 0.6667 0.3333 0.5562  6 C 2.33-2.36
Zr: 0.6667 0.3333 0.9438  6 C 2.33-2.36
Al: 0.0000 0.0000 0.1527  3 C 2.11
Al: 0.0000 0.0000 0.3473  3 C 2.11
Al: 0.0000 0.0000 0.6527  3 C 2.11
Al: 0.0000 0.0000 0.8473  3 C 2.11
Al: 0.3333 0.6667 0.7500  6 C 2.04
Al: 0.6667 0.3333 0.2500  6 C 2.04
C: 0.0000 0.0000 0.0000  6 Zr 2.33
C: 0.0000 0.0000 0.5000  6 Zr 2.33
C: 0.3333 0.6667 0.2175  1 C 1.60
C: 0.3333 0.6667 0.2825  1 C 1.60
C: 0.3333 0.6667 0.6139  3 Al 2.11, 3 Zr 2.36
C: 0.3333 0.6667 0.8861  3 Al 2.11, 3 Zr 2.36
C: 0.6667 0.3333 0.1139  3 Al 2.11, 3 Zr 2.36
C: 0.6667 0.3333 0.3861  3 Al 2.11, 3 Zr 2.36
C: 0.6667 0.3333 0.7175  1 C 1.60
C: 0.6667 0.3333 0.7825  1 C 1.60


[7]
The following is a DFT calculation (GGA-PBE) of a relaxed U2NO crystal.

## Properties
As for the total energy: -10.60 eV per atom.

Lattice parameters (Å, degrees): 6.4441 6.4441 6.4441 29.85 29.85 29.85
With the nearest neighbours (Å) after each atom.
Positions (direct):
U: 0.0000 0.0000 0.0000  3 N 2.39, 3 O 2.55
U: 0.1780 0.1780 0.1780  3 N 2.39, 3 O 2.50
N: 0.5889 0.5889 0.5889  6 U 2.39
O: 0.7580 0.7580 0.7580  6 U 2.50-2.55


[8]
The following is a DFT calculation (GGA-PBE) of a relaxed FeSiTc2Ir crystal.

## Properties
As for the total energy: -7.04 eV per atom.

Lattice parameters (Å, degrees): 4.6984 4.6984 4.6113 90.00 90.00 90.00
With the nearest neighbours (Å) after each atom.
Positions (direct):
Fe: 0.0000 0.0000 0.0000  2 Ir 2.31
Si: 0.5000 0.5000 0.0000  8 Tc 3.29, 4 Fe 3.32
Tc: 0.0000 0.5000 0.5000  2 Ir 2.35
Tc: 0.5000 0.0000 0.5000  2 Ir 2.35
Ir: 0.0000 0.0000 0.5000  2 Fe 2.31, 4 Tc 2.35


[9]
The following is a DFT calculation (GGA-PBE) of a relaxed Fe2NiN crystal.

## Properties
As for the total energy: -7.66 eV per atom.

Lattice parameters (Å, degrees): 6.5540 6.5540 6.5540 23.53 23.53 23.53
With the nearest neighbours (Å) after each atom.
Positions (direct):
Fe: 0.0000 0.0000 0.0000  3 N 1.95
Fe: 0.2101 0.2101 0.2101  3 N 1.93
Ni: 0.4391 0.4391 0.4391  6 Fe 2.52-2.54, 6 Ni 2.67
N: 0.6042 0.6042 0.6042  6 Fe 1.93-1.95


[10]
The following is a DFT calculation (GGA-PBE) of a relaxed Tl2PbAu crystal.

## Properties
The calculated formation energy comes out at -0.001 eV/atom.

Lattice parameters (Å, degrees): 3.7250 3.7250 7.9860 90.00 90.00 90.00
With the nearest neighbours (Å) after each atom.
Positions (direct):
Tl: 0.0000 0.0000 0.0000  8 Tl 3.46-3.73, 4 Pb 3.53
Tl: 0.5000 0.5000 0.2814  4 Au 3.18, 1 Pb 3.39, 4 Tl 3.46
Pb: 0.5000 0.5000 0.7065  4 Au 3.09, 1 Tl 3.39
Au: 0.0000 0.0000 0.5037  4 Pb 3.09, 4 Tl 3.18


[11]
The following is a DFT calculation (GGA-PBE) of a relaxed ZrNb3 crystal.

## Properties
The calculated formation energy comes out at 0.061 eV/atom.

Lattice parameters (Å, degrees): 4.7695 4.7695 4.7695 60.00 60.00 60.00
With the nearest neighbours (Å) after each atom.
Positions (direct):
Zr: 0.0000 0.0000 0.0000  8 Nb 2.92
Nb: 0.2500 0.2500 0.2500  4 Nb 2.92, 4 Zr 2.92
Nb: 0.5000 0.5000 0.5000  8 Nb 2.92
Nb: 0.7500 0.7500 0.7500  4 Zr 2.92, 4 Nb 2.92


[12]
The following is a DFT calculation (GGA-PBE) of a relaxed RbCaTiP2 crystal.

## Properties
The calculated formation energy comes out at 0.123 eV/atom.

Lattice parameters (Å, degrees): 4.9600 4.9600 5.1680 90.00 90.00 90.00
With the nearest neighbours (Å) after each atom.
Positions (direct):
Rb: 0.0000 0.0000 0.0000  2 Ti 2.58
Ca: 0.5000 0.5000 0.0000  4 Rb 3.51, 8 P 3.58
Ti: 0.0000 0.0000 0.5000  4 P 2.48, 2 Rb 2.58
P: 0.0000 0.5000 0.5000  2 Ti 2.48
P: 0.5000 0.0000 0.5000  2 Ti 2.48